Entry 1:
DFT (GGA-PBE) results for a relaxed structure of Ag2AuCl.

a = 5.6575 Å, b = 5.6575 Å, c = 5.6575 Å
α = 148.04°, β = 110.85°, γ = 78.21°
With the nearest neighbours (Å) after each atom.
Sites, in units of the cell vectors:
Au: 0.7500 0.2500 0.5000  4 Ag 2.75
Cl: 0.2500 0.7500 0.5000  4 Ag 2.63
Ag: 0.4913 0.4913 0.0000  2 Cl 2.63, 2 Au 2.75
Ag: 0.0087 0.0087 0.0000  2 Cl 2.63, 2 Au 2.75

Summary:
The calculation puts the distance to the lowest polymorph of the same formula at 215.4 meV per atom. Its uncorrected formation energy is 0.085 eV per atom. As for the uncorrected energy: -2.62 eV per atom.


Entry 2:
DFT (GGA-PBE) results for a relaxed structure of BiTeSN2.

a = 4.2955 Å, b = 4.2955 Å, c = 5.5715 Å
α = 90.00°, β = 90.00°, γ = 90.00°
With the nearest neighbours (Å) after each atom.
Sites, in units of the cell vectors:
Bi: 0.0000 0.0000 0.0000  4 N 2.15
N: 0.0000 0.5000 0.0000  2 Bi 2.15
N: 0.5000 0.0000 0.0000  2 Bi 2.15
Te: 0.5000 0.5000 0.5000  4 S 3.04
S: 0.0000 0.0000 0.5000  2 Bi 2.79, 4 Te 3.04

Summary:
The calculation puts the distance to the lowest polymorph of the same formula at 426.6 meV per atom. Its uncorrected formation energy is 1.581 eV per atom. As for the uncorrected energy: -3.98 eV per atom.


Entry 3:
DFT (GGA-PBE) results for a relaxed structure of TiHg2BiH.

a = 5.5873 Å, b = 3.5394 Å, c = 5.5873 Å
α = 90.00°, β = 90.00°, γ = 90.00°
With the nearest neighbours (Å) after each atom.
Sites, in units of the cell vectors:
Hg: 0.0000 0.0000 0.5000  2 Ti 2.79
Hg: 0.5000 0.0000 0.0000  2 Ti 2.79
Bi: 0.5000 0.5000 0.5000  8 Hg 3.31, 2 Bi 3.54
Ti: 0.0000 0.0000 0.0000  2 H 1.77
H: 0.0000 0.5000 0.0000  2 Ti 1.77

Summary:
As for the uncorrected energy: -2.86 eV per atom.


Entry 4:
DFT (GGA-PBE) results for a relaxed structure of SrZn2Tc.

a = 5.3464 Å, b = 5.3464 Å, c = 5.3464 Å
α = 133.68°, β = 133.68°, γ = 67.58°
With the nearest neighbours (Å) after each atom.
Sites, in units of the cell vectors:
Sr: 0.5000 0.5000 0.0000  8 Zn 2.97-3.06, 4 Tc 3.06
Zn: 0.0000 0.0000 0.0000  4 Sr 2.97, 4 Tc 3.06, 4 Zn 3.06
Zn: 0.2500 0.7500 0.5000  4 Tc 2.97, 4 Sr 3.06, 4 Zn 3.06
Tc: 0.7500 0.2500 0.5000  8 Zn 2.97-3.06, 4 Sr 3.06

Summary:
The calculation puts the distance to the lowest polymorph of the same formula at 328.9 meV per atom. As for the uncorrected energy: -3.13 eV per atom.


Entry 5:
DFT (GGA-PBE) results for a relaxed structure of LiCa5.

a = 6.5915 Å, b = 6.5915 Å, c = 6.2590 Å
α = 90.00°, β = 90.00°, γ = 120.00°
With the nearest neighbours (Å) after each atom.
Sites, in units of the cell vectors:
Ca: 0.0000 0.3333 0.5000  3 Li 3.81, 9 Ca 3.81-3.84
Ca: 0.6667 0.6667 0.5000  3 Li 3.81, 9 Ca 3.81-3.84
Ca: 0.0075 0.0000 0.0000  10 Ca 3.72-3.85, 2 Li 3.80
Ca: 0.6592 0.3259 0.0000  10 Ca 3.72-3.85, 2 Li 3.80
Ca: 0.3333 0.6741 0.0000  10 Ca 3.72-3.85, 2 Li 3.80
Li: 0.3333 0.0000 0.5000  12 Ca 3.80-3.81

Summary:
The calculation puts the distance to the lowest polymorph of the same formula at 43.4 meV per atom. As for the uncorrected energy: -1.94 eV per atom.


Entry 6:
DFT (GGA-PBE) results for a relaxed structure of Ga2HPtRh.

a = 4.2959 Å, b = 4.2959 Å, c = 3.4140 Å
α = 90.00°, β = 90.00°, γ = 90.00°
With the nearest neighbours (Å) after each atom.
Sites, in units of the cell vectors:
Rh: 0.0000 0.0000 0.5000  2 H 1.71
Ga: 0.0000 0.5000 0.0000  2 H 2.15
Ga: 0.5000 0.0000 0.0000  2 H 2.15
H: 0.0000 0.0000 0.0000  2 Rh 1.71
Pt: 0.5000 0.5000 0.5000  8 Ga 2.74, 4 Rh 3.04

Summary:
The calculation puts the distance to the lowest polymorph of the same formula at 0.0 meV per atom. As for the uncorrected energy: -4.84 eV per atom.


Entry 7:
DFT (GGA-PBE) results for a relaxed structure of Ag2Te2I.

a = 8.6651 Å, b = 8.6651 Å, c = 3.6587 Å
α = 90.00°, β = 90.00°, γ = 90.00°
With the nearest neighbours (Å) after each atom.
Sites, in units of the cell vectors:
Te: 0.6838 0.1838 0.0000  6 Ag 3.04-3.24, 2 I 3.17
Te: 0.8162 0.6838 0.0000  6 Ag 3.04-3.24, 2 I 3.17
Te: 0.1838 0.3162 0.0000  6 Ag 3.04-3.24, 2 I 3.17
Te: 0.3162 0.8162 0.0000  6 Ag 3.04-3.24, 2 I 3.17
Ag: 0.6183 0.8817 0.5000  1 Ag 2.90, 6 Te 3.04-3.24
Ag: 0.8817 0.3817 0.5000  1 Ag 2.90, 6 Te 3.04-3.24
Ag: 0.1183 0.6183 0.5000  1 Ag 2.90, 6 Te 3.04-3.24
Ag: 0.3817 0.1183 0.5000  1 Ag 2.90, 6 Te 3.04-3.24
I: 0.5000 0.5000 0.0000  4 Te 3.17
I: 0.0000 0.0000 0.0000  4 Te 3.17

Summary:
The calculation puts the distance to the lowest polymorph of the same formula at 280.2 meV per atom. Its uncorrected formation energy is 0.203 eV per atom. As for the uncorrected energy: -2.50 eV per atom.


Entry 8:
DFT (GGA-PBE) results for a relaxed structure of PtIN2.

a = 4.1919 Å, b = 4.1919 Å, c = 4.1919 Å
α = 60.00°, β = 60.00°, γ = 60.00°
With the nearest neighbours (Å) after each atom.
Sites, in units of the cell vectors:
I: 0.0000 0.0000 0.0000  8 N 2.57
N: 0.2500 0.2500 0.2500  4 Pt 2.57, 4 I 2.57
N: 0.7500 0.7500 0.7500  4 Pt 2.57, 4 I 2.57
Pt: 0.5000 0.5000 0.5000  8 N 2.57

Summary:
The calculation puts the distance to the lowest polymorph of the same formula at 1272.4 meV per atom. Its uncorrected formation energy is 2.264 eV per atom. As for the uncorrected energy: -3.80 eV per atom.


Entry 9:
DFT (GGA-PBE) results for a relaxed structure of Pm4Dy6Er.

a = 3.5592 Å, b = 10.9922 Å, c = 10.9922 Å
α = 120.00°, β = 90.00°, γ = 90.00°
With the nearest neighbours (Å) after each atom.
Sites, in units of the cell vectors:
Pm: 0.5000 0.8370 0.1630  6 Dy 3.28-3.57, 2 Pm 3.56, 2 Er 3.58
Pm: 0.5000 0.8370 0.6741  6 Dy 3.28-3.57, 2 Pm 3.56, 2 Er 3.58
Pm: 0.0000 0.3333 0.6667  9 Dy 3.42, 2 Pm 3.56
Pm: 0.5000 0.3259 0.1630  6 Dy 3.28-3.57, 2 Pm 3.56, 2 Er 3.58
Dy: 0.0000 0.9745 0.4872  5 Pm 3.42-3.57, 6 Dy 3.56-3.66
Dy: 0.5000 0.1800 0.8200  4 Pm 3.28-3.42, 6 Dy 3.56-3.66
Dy: 0.5000 0.6400 0.8200  4 Pm 3.28-3.42, 6 Dy 3.56-3.66
Dy: 0.0000 0.5128 0.4872  5 Pm 3.42-3.57, 6 Dy 3.56-3.66
Dy: 0.5000 0.1800 0.3600  4 Pm 3.28-3.42, 6 Dy 3.56-3.66
Dy: 0.0000 0.5128 0.0255  5 Pm 3.42-3.57, 6 Dy 3.56-3.66
Er: 0.0000 0.0000 0.0000  2 Er 3.56, 6 Pm 3.58, 6 Dy 3.86

Summary:
The calculation puts the distance to the lowest polymorph of the same formula at 0.0 meV per atom. As for the uncorrected energy: -4.49 eV per atom.


Entry 10:
DFT (GGA-PBE) results for a relaxed structure of Er4AsS3.

a = 5.5451 Å, b = 5.5451 Å, c = 5.5451 Å
α = 90.00°, β = 90.00°, γ = 90.00°
With the nearest neighbours (Å) after each atom.
Sites, in units of the cell vectors:
Er: 0.5000 0.0000 0.0000  4 S 2.77, 2 As 2.77
Er: 0.5000 0.5000 0.5000  6 S 2.77
Er: 0.0000 0.0000 0.5000  4 S 2.77, 2 As 2.77
Er: 0.0000 0.5000 0.0000  2 As 2.77, 4 S 2.77
S: 0.5000 0.5000 0.0000  6 Er 2.77
S: 0.0000 0.5000 0.5000  6 Er 2.77
S: 0.5000 0.0000 0.5000  6 Er 2.77
As: 0.0000 0.0000 0.0000  6 Er 2.77

Summary:
Its uncorrected formation energy is -1.869 eV per atom. As for the uncorrected energy: -6.28 eV per atom.


Entry 11:
DFT (GGA-PBE) results for a relaxed structure of CaY2O4.

a = 6.8445 Å, b = 6.8445 Å, c = 6.8445 Å
α = 60.00°, β = 60.00°, γ = 60.00°
With the nearest neighbours (Å) after each atom.
Sites, in units of the cell vectors:
Y: 0.6250 0.1250 0.6250  6 O 2.30
Y: 0.1250 0.6250 0.6250  6 O 2.30
Y: 0.6250 0.6250 0.1250  6 O 2.30
Y: 0.6250 0.6250 0.6250  6 O 2.30
Ca: 0.0000 0.0000 0.0000  4 O 2.31
Ca: 0.2500 0.2500 0.2500  4 O 2.31
O: 0.8623 0.4132 0.8623  3 Y 2.30, 1 Ca 2.31
O: 0.3877 0.3877 0.3877  3 Y 2.30, 1 Ca 2.31
O: 0.3877 0.8368 0.3877  3 Y 2.30, 1 Ca 2.31
O: 0.4132 0.8623 0.8623  3 Y 2.30, 1 Ca 2.31
O: 0.8623 0.8623 0.8623  3 Y 2.30, 1 Ca 2.31
O: 0.3877 0.3877 0.8368  3 Y 2.30, 1 Ca 2.31
O: 0.8368 0.3877 0.3877  3 Y 2.30, 1 Ca 2.31
O: 0.8623 0.8623 0.4132  3 Y 2.30, 1 Ca 2.31

Summary:
The calculation puts the distance to the lowest polymorph of the same formula at 0.0 meV per atom. Its uncorrected formation energy is -3.344 eV per atom. As for the uncorrected energy: -8.31 eV per atom.


Entry 12:
DFT (GGA-PBE) results for a relaxed structure of ZrReBr2.

a = 10.6125 Å, b = 10.6125 Å, c = 10.6125 Å
α = 17.35°, β = 17.35°, γ = 17.35°
With the nearest neighbours (Å) after each atom.
Sites, in units of the cell vectors:
Br: 0.4810 0.4810 0.4810  3 Zr 2.74
Br: 0.0190 0.0190 0.0190  3 Zr 2.74
Zr: 0.7500 0.7500 0.7500  6 Br 2.74
Re: 0.2500 0.2500 0.2500  6 Re 3.20

Summary:
The calculation puts the distance to the lowest polymorph of the same formula at 746.3 meV per atom. Its uncorrected formation energy is 0.513 eV per atom. As for the uncorrected energy: -5.57 eV per atom.